First-principles (GGA-PBE) data for crystalline Cd3GaGe at its relaxed geometry, as listed in Alexandria via LeMat-Bulk.

Lattice parameters (Å, degrees): 5.2411 5.2411 5.2411 90.00 90.00 90.00
With the nearest neighbours (Å) after each atom.
Fractional positions:
Ga 0.5000 0.5000 0.5000  12 Cd 3.71
Ge 0.0000 0.0000 0.0000  6 Cd 2.62
Cd 0.5000 0.0000 0.0000  2 Ge 2.62
Cd 0.0000 0.0000 0.5000  2 Ge 2.62
Cd 0.0000 0.5000 0.0000  2 Ge 2.62

Computed properties:
Energy of formation from the pure elements ... 0.402 eV/atom
Total DFT energy (no corrections) ... -1.6761 eV per atom
Mass density ... 5.53 g cm⁻³
ΔE to the lowest computed polymorph ... 0 meV per atom